No. 1
The following is a DFT calculation (SCAN) of a PBEsol-optimized structure of KPd2Pb2.

Cell lengths 4.839, 4.839, 10.721 Å; angles 90.00, 90.00, 90.00 degrees
Space group I4/mmm (No. 139)
Symmetry-distinct sites (fractional):
K 0.000 0.000 0.000 [2 per cell]
Pd 0.000 0.000 0.378 [4 per cell]
Pb 0.000 0.500 0.250 [4 per cell]

Output
- E_tot (eV/atom) = -45.2930
- ΔE_f (meV per atom) = -205.1

---

No. 2
The following is a DFT calculation (SCAN) of a PBEsol-optimized structure of K2Pd2Pb.

Cell lengths 6.938, 6.938, 5.418 Å; angles 90.00, 90.00, 90.00 degrees
Space group P4/mbm (No. 127)
Symmetry-distinct sites (fractional):
K 0.174 0.326 0.000 [4 per cell]
Pd 0.134 0.634 0.500 [4 per cell]
Pb 0.000 0.000 0.500 [2 per cell]

Output
- E_tot (eV/atom) = -31.7408
- ΔE_f (meV per atom) = -143.3

---

No. 3
The following is a DFT calculation (SCAN) of a PBEsol-optimized structure of KPt2Pb2.

Cell lengths 4.894, 4.894, 11.075 Å; angles 90.00, 90.00, 90.00 degrees
Space group I4/mmm (No. 139)
Symmetry-distinct sites (fractional):
K 0.000 0.000 0.000 [2 per cell]
Pt 0.000 0.500 0.250 [4 per cell]
Pb 0.000 0.000 0.355 [4 per cell]

Output
- E_tot (eV/atom) = -60.2935
- ΔE_f (meV per atom) = -238.0

---

No. 4
The following is a DFT calculation (SCAN) of a PBEsol-optimized structure of KPt2Pb.

Cell lengths 2.900, 5.292, 11.136 Å; angles 90.00, 90.00, 90.00 degrees
Space group Imm2 (No. 44)
Symmetry-distinct sites (fractional):
K 0.000 0.000 0.000 [2 per cell]
Pt 0.000 0.000 0.512 [2 per cell]
Pt 0.000 0.500 0.215 [2 per cell]
Pb 0.000 0.500 0.793 [2 per cell]

Output
- E_tot (eV/atom) = -56.1153
- ΔE_f (meV per atom) = 8.7

---

What did the first record say?
The following is a DFT calculation (SCAN) of a PBEsol-optimized structure of KPd2Pb2.

Cell lengths 4.839, 4.839, 10.721 Å; angles 90.00, 90.00, 90.00 degrees
Space group I4/mmm (No. 139)
Symmetry-distinct sites (fractional):
K 0.000 0.000 0.000 [2 per cell]
Pd 0.000 0.000 0.378 [4 per cell]
Pb 0.000 0.500 0.250 [4 per cell]

Output
- E_tot (eV/atom) = -45.2930
- ΔE_f (meV per atom) = -205.1

---

Q: Look up the ΔE_f of the first one.
A: -205.1 meV per atom

---

Q: The lowest ΔE_f belongs to which entry?
A: KPt2Pb2

---

Q: Which of these has the highest ΔE_f?
A: KPt2Pb